# Ac3Co3Cl (PBE, optimized geometry)
data_Ac3Co3Cl
_space_group_name_H-M_alt 'P 63/m'
_space_group_IT_number 176
_space_group_name_Hall '-P 6c'
_cell_length_a 10.3525
_cell_length_b 10.3525
_cell_length_c 4.0284
_cell_angle_alpha 90.00
_cell_angle_beta 90.00
_cell_angle_gamma 120.00
loop_
_atom_site_label
_atom_site_fract_x
_atom_site_fract_y
_atom_site_fract_z
_atom_site_occupancy
Ac1 0.1038 0.3814 0.2500 1
Co1 0.0357 0.1527 0.7500 1
Cl1 0.3333 0.6667 0.7500 1
# Energy relative to the elements, uncorrected in eV/atom: -0.399
# Total moment in μB/cell: 2.51